TlRe4Tc | PBE-GGA | relaxed

Lattice parameters (Å, degrees): 7.388 7.388 7.388 90.00 90.00 90.00
Space group F-43m (No. 216)
Unique sites:
Tl: 0.000 0.000 0.000
Re: 0.126 0.126 0.626
Tc: 0.250 0.250 0.250

=====

CdSi3C | PBE-GGA | relaxed

The formation energy from raw total energies is 2.549 eV/atom. The energy above the most stable polymorph in this dataset comes out at 1622 meV per atom.

Lattice parameters (Å, degrees): 4.981 4.981 4.981 90.00 90.00 90.00
Space group Pm-3m (No. 221)
Unique sites:
Cd: 0.000 0.000 0.000
Si: 0.000 0.000 0.500
C: 0.500 0.500 0.500

=====

Ca2BeNiC | PBE-GGA | relaxed

Lattice parameters (Å, degrees): 5.166 5.166 3.782 90.00 90.00 90.00
Space group P4/mmm (No. 123)
Unique sites:
Ca: 0.000 0.500 0.000
Be: 0.000 0.000 0.000
Ni: 0.000 0.000 0.500
C: 0.500 0.500 0.500

=====

Ba3TlBr | PBE-GGA | relaxed

The formation energy from raw total energies is -0.566 eV/atom. The energy above the most stable polymorph in this dataset comes out at 252 meV per atom.

Lattice parameters (Å, degrees): 6.262 6.262 6.262 90.00 90.00 90.00
Space group Pm-3m (No. 221)
Unique sites:
Ba: 0.000 0.000 0.500
Tl: 0.500 0.500 0.500
Br: 0.000 0.000 0.000

=====

CdMo2Se | PBE-GGA | relaxed

The formation energy from raw total energies is 0.407 eV/atom. The energy above the most stable polymorph in this dataset comes out at 261 meV per atom.

Lattice parameters (Å, degrees): 9.260 3.200 5.370 90.00 105.15 90.00
Space group Cm (No. 8)
Unique sites:
Cd: 0.000 0.000 0.000
Mo: 0.021 0.500 0.529
Mo: 0.236 0.000 0.703
Se: 0.271 0.500 0.345

=====

ErSi2SbO8 | PBE-GGA | relaxed

The formation energy from raw total energies is -2.435 eV/atom.

Lattice parameters (Å, degrees): 6.760 6.760 6.010 90.00 90.00 90.00
Space group I-4m2 (No. 119)
Unique sites:
Er: 0.000 0.000 0.000
Si: 0.000 0.000 0.500
Si: 0.000 0.500 0.250
Sb: 0.000 0.500 0.750
O: 0.000 0.189 0.675
O: 0.000 0.325 0.060

=====

| no. | mass density (g/cm³) | E (eV per atom) |
| --- | --- | --- |
| 1 | 17.2 | -9.7123 |
| 2 | 2.8 | -2.7331 |
| 3 | 2.6 | -3.4909 |
| 4 | 4.7 | -2.5278 |
| 5 | 8.3 | -6.1089 |
| 6 | 5.7 | -7.3677 |